The following is a DFT calculation (GGA-PBE) of CoPOsCl2 after structural relaxation.

Summary:
Formation energy without anion corrections, eV/atom: 0.95
Energy above the most stable polymorph in this dataset, meV/atom: 0
Calculated total energy, eV per atom: -4.537

Cell: 4.932 4.932 4.472 Å, 90.00 90.00 90.00°
Space group P4/mmm (No. 123)
Asymmetric unit:
Co 0.000 0.000 0.000 x1
P 0.500 0.500 0.000 x1
Os 0.500 0.500 0.500 x1
Cl 0.000 0.500 0.500 x2